# PBE CoMo2Cl, optimized geometry
data_CoMo2Cl
_chemical_formula_sum 'Co2 Mo4 Cl2'
_symmetry_space_group_name_H-M 'I m m m'
_symmetry_Int_Tables_number 71
_symmetry_space_group_name_Hall '-I 2 2'
_cell_length_a 2.930
_cell_length_b 4.449
_cell_length_c 8.961
_cell_angle_alpha 90.00
_cell_angle_beta 90.00
_cell_angle_gamma 90.00
loop_
_atom_site_label
_atom_site_type_symbol
_atom_site_fract_x
_atom_site_fract_y
_atom_site_fract_z
Co1 Co 0.000 0.000 0.000
Mo1 Mo 0.000 0.500 0.229
Cl1 Cl 0.000 0.000 0.500
# Theoretical density   8.14 g/cm3
# Total DFT energy (no corrections)   -27.88 eV per formula unit
# Polymorph energy (0 for the lowest one)   0.4062 eV/atom
# Formation energy from raw total energies   0.684 eV/atom

# PBE Zn2CrCo, optimized geometry
data_Zn2CrCo
_chemical_formula_sum 'Zn4 Cr2 Co2'
_symmetry_space_group_name_H-M 'I 4/m m m'
_symmetry_Int_Tables_number 139
_symmetry_space_group_name_Hall '-I 4 2'
_cell_length_a 3.731
_cell_length_b 3.731
_cell_length_c 7.506
_cell_angle_alpha 90.00
_cell_angle_beta 90.00
_cell_angle_gamma 90.00
loop_
_atom_site_label
_atom_site_type_symbol
_atom_site_fract_x
_atom_site_fract_y
_atom_site_fract_z
Zn1 Zn 0.000 0.500 0.250
Cr1 Cr 0.000 0.000 0.000
Co1 Co 0.000 0.000 0.500
# Theoretical density   7.68 g/cm3
# Total DFT energy (no corrections)   -18.88 eV per formula unit
# Polymorph energy (0 for the lowest one)   0.0601 eV/atom

# PBE SrTcP2, optimized geometry
data_SrTcP2
_chemical_formula_sum 'Sr4 Tc4 P8'
_symmetry_space_group_name_H-M 'F m -3 m'
_symmetry_Int_Tables_number 225
_symmetry_space_group_name_Hall '-F 4 2 3'
_cell_length_a 6.542
_cell_length_b 6.542
_cell_length_c 6.542
_cell_angle_alpha 90.00
_cell_angle_beta 90.00
_cell_angle_gamma 90.00
loop_
_atom_site_label
_atom_site_type_symbol
_atom_site_fract_x
_atom_site_fract_y
_atom_site_fract_z
Sr1 Sr 0.000 0.000 0.000
Tc1 Tc 0.000 0.000 0.500
P1 P 0.250 0.250 0.250
# Theoretical density   5.87 g/cm3
# Total DFT energy (no corrections)   -22.97 eV per formula unit
# Polymorph energy (0 for the lowest one)   0.5455 eV/atom

- Among the records above, which one has the lowest theoretical density?
  SrTcP2

- theoretical density of number 2 (Zn2CrCo)?
  7.68 g/cm3

- theoretical density of number 2 (Zn2CrCo)?
  7.68 g/cm3

- Which of these has the highest theoretical density?
  CoMo2Cl